<P>
# CdHAu PBE optimized geometry
# * density of states at the Fermi level: 0.590 states/eV/f.u.
data_CdHAu
_symmetry_space_group_name_H-M 'P -1'
_symmetry_Int_Tables_number 2
_cell_length_a 4.220
_cell_length_b 4.933
_cell_length_c 5.077
_cell_angle_alpha 104.41
_cell_angle_beta 108.63
_cell_angle_gamma 100.24
loop_
_symmetry_equiv_pos_as_xyz
'x,y,z'
'-x,-y,-z'
loop_
_atom_site_label
_atom_site_fract_x
_atom_site_fract_y
_atom_site_fract_z
_atom_site_occupancy
Cd1 0.081 0.358 0.237 1
H1 0.500 0.000 0.000 1
H2 0.500 0.000 0.500 1
Au1 0.341 0.206 0.754 1


<Q>
# CdHAu PBE optimized geometry
# * density of states at the Fermi level: 0.467 states/eV/f.u.
data_CdHAu
_symmetry_space_group_name_H-M 'A m m 2'
_symmetry_Int_Tables_number 38
_cell_length_a 2.955
_cell_length_b 3.498
_cell_length_c 9.139
_cell_angle_alpha 90.00
_cell_angle_beta 90.00
_cell_angle_gamma 90.00
loop_
_symmetry_equiv_pos_as_xyz
'x,y,z'
'-x,-y,z'
'-x,y,z'
'x,-y,z'
'x,y+1/2,z+1/2'
'-x,-y+1/2,z+1/2'
'-x,y+1/2,z+1/2'
'x,-y+1/2,z+1/2'
loop_
_atom_site_label
_atom_site_fract_x
_atom_site_fract_y
_atom_site_fract_z
_atom_site_occupancy
Cd1 0.000 0.000 0.000 1
H1 0.500 0.000 0.262 1
Au1 0.500 0.000 0.723 1


In terms of stability, <P> leads; the second structure lies 17 meV per atom higher.